{
  "formula": "V2Cu3O8",
  "functional": "PBE+U",
  "state": "optimized geometry",
  "e_above_lowest_polymorph_ev_per_atom": 0.000,
  "sg": "P-1 (2)",
  "m_tot_mub_per_cell": 2.75,
  "energy_ev_per_cell": -82.67,
  "lattice": [[5.1485, 0.0112, -0.0354], [-2.1975, 5.3550, 0.0449], [0.2554, -2.2787, 6.1628]],
  "species": ["V", "V", "Cu", "Cu", "Cu", "O", "O", "O", "O", "O", "O", "O", "O"],
  "frac_coords": [[0.3592, 0.6707, 0.7902], [0.6408, 0.3293, 0.2098], [0.2589, 0.8283, 0.3342], [0.7411, 0.1717, 0.6658], [0.0000, 0.0000, 0.0000], [0.3802, 0.8683, 0.6243], [0.6198, 0.1317, 0.3757], [0.2192, 0.8068, 0.0350], [0.7808, 0.1932, 0.9650], [0.3154, 0.3303, 0.1531], [0.1332, 0.3533, 0.6550], [0.6846, 0.6697, 0.8469], [0.8668, 0.6467, 0.3450]]
}